First-principles (PBE) data for an optimized crystal structure of BaNbTc2Rh, as listed in Alexandria via LeMat-Bulk.

Structure (POSCAR):
```
BaNbTc2Rh
1.0
4.9114 0.0000 0.0000
0.0000 4.9114 0.0000
0.0000 0.0000 4.9195
Ba Nb Tc Rh
1 1 2 1
Cartesian
0.0000 0.0000 0.0000 Ba
2.4557 2.4557 0.0000 Nb
0.0000 2.4557 2.4598 Tc
2.4557 0.0000 2.4598 Tc
2.4557 2.4557 2.4598 Rh
```

Computed properties:
For the size of the total moment, the calculation gives 0.308 μB/f.u. The value obtained for the formation enthalpy at 0 K is 1.226 eV/atom. The density of states at the Fermi level is 9.4 states/eV/f.u.